Computed, not measured: LiAc3Tl2 after structural relaxation at the PBE level of DFT.

```
LiAc3Tl2
1.0
-2.689 3.139 5.436
-6.614 -2.555 -1.797
4.397 -7.763 2.368
Li Ac Tl
2 6 4
Cartesian
-7.032 0.502 2.840
-2.271 0.082 0.799
-3.593 1.625 3.472
-5.710 -1.042 0.167
-0.063 -2.356 2.165
-2.061 -2.935 5.800
-2.846 -4.245 0.207
-4.844 -4.824 3.842
-3.600 -1.756 2.743
-0.781 0.092 4.629
-4.125 -7.272 1.379
-1.307 -5.424 3.265
```

The value obtained for the excess energy over the best structure of this formula in the dataset is 0.045 eV per atom. The total DFT energy (no corrections) is -3.35 eV/atom. As for the formation energy: -0.19 eV/atom. As for the total magnetization: 0.0 μB/cell.